Entry 1:
## K2LiCrI6 (PBE)

Data for a geometry-optimized K2LiCrI6 structure.

a b c (Å): 7.733 7.746 8.231
angles (deg): 117.73 117.96 90.07
Space group P1 (No. 1)
Asymmetric unit:
1 K 0.000 0.000 0.000 (multiplicity 1)
2 K 0.500 0.498 0.999 (multiplicity 1)
3 Li 0.211 0.709 0.419 (multiplicity 1)
4 Cr 0.746 0.246 0.493 (multiplicity 1)
5 I 0.059 0.432 0.502 (multiplicity 1)
6 I 0.441 0.068 0.500 (multiplicity 1)
7 I 0.522 0.033 0.051 (multiplicity 1)
8 I 0.574 0.562 0.511 (multiplicity 1)
9 I 0.927 0.937 0.492 (multiplicity 1)
10 I 0.980 0.466 0.951 (multiplicity 1)

Values from the calculation:
E_tot   -32.4 eV/cell
E_form (uncorrected)   -0.9379 eV/atom



Entry 2:
## KMn2CrI8 (PBE)

Data for a geometry-optimized KMn2CrI8 structure.

a b c (Å): 7.1503 7.1503 33.6853
angles (deg): 90.00 90.00 120.00
Space group R32 (No. 155, hexagonal axes)
Asymmetric unit:
1 K 0.0000 0.0000 0.0000 (multiplicity 3)
2 Mn 0.0000 0.0000 0.2422 (multiplicity 6)
3 Cr 0.0000 0.0000 0.5000 (multiplicity 3)
4 I 0.0000 0.0000 0.3201 (multiplicity 6)
5 I 0.0183 0.3722 0.2220 (multiplicity 18)

Values from the calculation:
E_tot   -140.7 eV/cell
E_form (uncorrected)   -0.4528 eV/atom



Entry 3:
## KCrMo2I (PBE)

Data for a geometry-optimized KCrMo2I structure.

a b c (Å): 5.038 5.038 4.820
angles (deg): 90.00 90.00 90.00
Space group P4/mmm (No. 123)
Asymmetric unit:
1 K 0.000 0.000 0.000 (multiplicity 1)
2 Cr 0.500 0.500 0.000 (multiplicity 1)
3 Mo 0.000 0.500 0.500 (multiplicity 2)
4 I 0.500 0.500 0.500 (multiplicity 1)

Values from the calculation:
E_tot   -23.2 eV/cell
E_form (uncorrected)   2.1465 eV/atom



Entry 4:
## KCrIN2 (PBE)

Data for a geometry-optimized KCrIN2 structure.

a b c (Å): 4.008 4.008 5.625
angles (deg): 90.00 90.00 90.00
Space group P4/mmm (No. 123)
Asymmetric unit:
1 K 0.000 0.000 0.000 (multiplicity 1)
2 Cr 0.500 0.500 0.500 (multiplicity 1)
3 I 0.500 0.500 0.000 (multiplicity 1)
4 N 0.000 0.500 0.500 (multiplicity 2)

Values from the calculation:
E_tot   -26.1 eV/cell
E_form (uncorrected)   0.5694 eV/atom
Energy above the lowest structure with this stoichiometry   0.000 eV/atom



Question: Among the records above, which one has the highest E_form (uncorrected)?
Answer: KCrMo2I



Copy entry 4 word for word.
## KCrIN2 (PBE)

Data for a geometry-optimized KCrIN2 structure.

a b c (Å): 4.008 4.008 5.625
angles (deg): 90.00 90.00 90.00
Space group P4/mmm (No. 123)
Asymmetric unit:
1 K 0.000 0.000 0.000 (multiplicity 1)
2 Cr 0.500 0.500 0.500 (multiplicity 1)
3 I 0.500 0.500 0.000 (multiplicity 1)
4 N 0.000 0.500 0.500 (multiplicity 2)

Values from the calculation:
E_tot   -26.1 eV/cell
E_form (uncorrected)   0.5694 eV/atom
Energy above the lowest structure with this stoichiometry   0.000 eV/atom



Question: What is the E_tot in the second record?
Answer: -140.7 eV/cell